LiSm4Al2 | the Alexandria database | PBE | relaxed; calculated volume = 196.09 Å³/f.u.; N(E_F) = 9.34 states/eV/cell; calculated formation energy = -0.135 eV/atom
1.0
2.606 1.505 8.333
-2.606 1.505 8.333
0.000 -3.009 8.333
Li Sm Al
1 4 2
Cartesian
0.000 0.000 0.000 Li
0.000 0.000 3.261 Sm
0.000 0.000 9.583 Sm
0.000 0.000 15.416 Sm
0.000 0.000 21.739 Sm
0.000 0.000 6.404 Al
0.000 0.000 18.596 Al

---

LiSmAl2 | the Alexandria database | PBE | relaxed; calculated volume = 81.56 Å³/f.u.; N(E_F) = 1.90 states/eV/cell; distance to the lowest polymorph of the same formula = 0 meV/atom; calculated formation energy = -0.248 eV/atom
1.0
3.393 0.000 0.000
0.000 3.393 0.000
0.000 0.000 7.084
Li Sm Al
1 1 2
Cartesian
0.000 0.000 0.000 Li
0.000 0.000 3.542 Sm
1.697 1.697 1.397 Al
1.697 1.697 5.688 Al

---

Li7SmAl5 | the Alexandria database | PBE | relaxed; calculated volume = 234.13 Å³/f.u.; N(E_F) = 4.36 states/eV/cell; calculated formation energy = -0.183 eV/atom
1.0
-2.720 4.620 4.657
2.720 -4.620 4.657
2.720 4.620 -4.657
Li Sm Al
7 1 5
Cartesian
0.000 0.000 0.000 Li
2.720 1.367 1.329 Li
0.000 0.000 2.792 Li
0.000 2.666 1.369 Li
2.720 0.000 4.062 Li
0.000 6.574 1.369 Li
0.000 3.253 5.987 Li
0.000 0.000 6.056 Sm
1.352 2.312 -0.965 Al
1.368 -2.309 3.692 Al
1.352 6.929 -0.965 Al
1.368 2.309 3.692 Al
0.000 4.620 3.256 Al

---

LiSmAl2 | the Alexandria database | PBE | relaxed; calculated volume = 84.61 Å³/f.u.; N(E_F) = 3.19 states/eV/cell; distance to the lowest polymorph of the same formula = 28 meV/atom; calculated formation energy = -0.220 eV/atom
1.0
4.308 0.000 0.000
0.000 4.308 0.000
0.000 0.000 4.559
Li Sm Al
1 1 2
Cartesian
0.000 0.000 0.000 Li
2.154 2.154 0.000 Sm
0.000 2.154 2.280 Al
2.154 0.000 2.280 Al

---

Total DFT energy (no corrections), respectively: -29.2; -15.1; -39.2; -15.0 eV/cell.